(1)
This record from Alexandria via LeMat-Bulk describes a geometry-optimized Pm4HgSe2S structure. The functional is PBE.

## Properties
calculated total energy = -5.31 eV per atom
V = 212 Å³/cell
total magnetization = 0.00 μB per formula unit

Cell lengths 4.151, 7.350, 7.348 Å; angles 71.16, 90.00, 90.00 degrees
Positions (direct):
Pm (0.000, 0.754, 0.739)
Pm (0.000, 0.246, 0.261)
Pm (0.500, 0.743, 0.262)
Pm (0.500, 0.257, 0.738)
Hg (0.500, 0.500, 0.000)
Se (0.000, 0.000, 0.000)
Se (0.500, 0.000, 0.500)
S (0.000, 0.500, 0.500)


(2)
This record from Alexandria via LeMat-Bulk describes a geometry-optimized Pm2HgSb structure. The functional is PBE.

## Properties
calculated total energy = -4.15 eV per atom
V = 112 Å³/cell
total magnetization = 0.00 μB per formula unit

Cell lengths 5.410, 5.410, 5.410 Å; angles 60.00, 60.00, 60.00 degrees
Positions (direct):
Sb (0.500, 0.500, 0.500)
Hg (0.000, 0.000, 0.000)
Pm (0.250, 0.250, 0.250)
Pm (0.750, 0.750, 0.750)


(3)
This record from Alexandria via LeMat-Bulk describes a geometry-optimized Pm3HgSb structure. The functional is PBE.

## Properties
calculated total energy = -4.32 eV per atom
V = 308 Å³/cell
total magnetization = 0.00 μB per formula unit

Cell lengths 4.232, 8.386, 8.971 Å; angles 92.61, 90.02, 104.62 degrees
Positions (direct):
Pm (0.063, 0.160, 0.405)
Pm (0.426, 0.884, 0.641)
Pm (0.618, 0.270, 0.780)
Pm (0.981, 0.994, 0.017)
Pm (0.262, 0.557, 0.036)
Pm (0.781, 0.597, 0.386)
Hg (0.224, 0.482, 0.619)
Hg (0.820, 0.672, 0.802)
Sb (0.416, 0.865, 0.277)
Sb (0.628, 0.290, 0.144)


(4)
This record from Alexandria via LeMat-Bulk describes a geometry-optimized Pm6HgSb2 structure. The functional is PBE.

## Properties
calculated total energy = -4.75 eV per atom
V = 273 Å³/cell
total magnetization = 0.00 μB per formula unit

Cell lengths 4.221, 8.650, 8.650 Å; angles 120.00, 90.00, 90.00 degrees
Positions (direct):
Pm (0.500, 0.592, 0.000)
Pm (0.500, 0.408, 0.408)
Pm (0.500, 0.000, 0.592)
Pm (0.000, 0.265, 0.000)
Pm (0.000, 0.735, 0.735)
Pm (0.000, 0.000, 0.265)
Hg (0.500, 0.000, 0.000)
Sb (0.000, 0.333, 0.667)
Sb (0.000, 0.667, 0.333)


(5)
This record from Alexandria via LeMat-Bulk describes a geometry-optimized Pm3HgSb2 structure. The functional is PBE.

## Properties
calculated total energy = -4.66 eV per atom
V = 382 Å³/cell
total magnetization = 0.00 μB per formula unit

Cell lengths 6.312, 8.937, 7.801 Å; angles 106.64, 113.86, 90.00 degrees
Positions (direct):
Pm (0.500, 0.250, 0.000)
Pm (0.500, 0.750, 0.000)
Pm (0.177, 0.089, 0.354)
Pm (0.823, 0.411, 0.646)
Pm (0.177, 0.589, 0.354)
Pm (0.823, 0.911, 0.646)
Hg (0.000, 0.750, 0.000)
Hg (0.000, 0.250, 0.000)
Sb (0.664, 0.582, 0.328)
Sb (0.664, 0.082, 0.328)
Sb (0.336, 0.918, 0.672)
Sb (0.336, 0.418, 0.672)


(6)
This record from Alexandria via LeMat-Bulk describes a geometry-optimized Pm2HgSb structure. The functional is PBE.

## Properties
calculated total energy = -4.21 eV per atom
V = 113 Å³/cell
total magnetization = 0.44 μB per formula unit

Cell lengths 4.000, 4.000, 7.043 Å; angles 90.00, 90.00, 90.00 degrees
Last column: magnetic moment on the atom in μB.
Positions (direct):
Sb (0.500, 0.500, 0.500)  -0.01
Hg (0.500, 0.500, 0.000)  0.00
Pm (0.000, 0.000, 0.744)  0.12
Pm (0.000, 0.000, 0.256)  0.12


(7)
This record from Alexandria via LeMat-Bulk describes a geometry-optimized PmHgSb2 structure. The functional is PBE.

## Properties
calculated total energy = -3.82 eV per atom
V = 217 Å³/cell
total magnetization = 0.00 μB per formula unit

Cell lengths 6.269, 6.269, 6.382 Å; angles 90.00, 90.00, 60.01 degrees
Positions (direct):
Pm (0.000, 0.500, 0.295)
Pm (0.500, 0.000, 0.705)
Hg (0.500, 0.500, 0.000)
Hg (0.000, 0.000, 0.000)
Sb (0.500, 0.000, 0.199)
Sb (0.000, 0.500, 0.801)
Sb (0.000, 0.000, 0.500)
Sb (0.500, 0.500, 0.500)


(8)
This record from Alexandria via LeMat-Bulk describes a geometry-optimized Pm8Hg2Sb structure. The functional is PBE.

## Properties
calculated total energy = -4.20 eV per atom
V = 350 Å³/cell
total magnetization = 0.00 μB per formula unit

Cell lengths 5.238, 7.146, 9.854 Å; angles 99.68, 105.41, 90.00 degrees
Positions (direct):
Pm (0.409, 0.550, 0.819)
Pm (0.664, 0.971, 0.327)
Pm (0.797, 0.679, 0.593)
Pm (0.974, 0.245, 0.947)
Pm (0.203, 0.321, 0.407)
Pm (0.336, 0.029, 0.673)
Pm (0.591, 0.450, 0.181)
Pm (0.026, 0.755, 0.053)
Hg (0.809, 0.260, 0.619)
Hg (0.191, 0.740, 0.381)
Sb (0.500, 0.000, 0.000)


(9)
This record from Alexandria via LeMat-Bulk describes a geometry-optimized Pm8HgSb5 structure. The functional is PBE.

## Properties
calculated total energy = -5.15 eV per atom
V = 421 Å³/cell
total magnetization = 0.00 μB per formula unit

Cell lengths 8.177, 8.177, 8.177 Å; angles 109.74, 108.93, 109.74 degrees
Positions (direct):
Pm (0.127, 0.753, 0.018)
Pm (0.982, 0.108, 0.735)
Pm (0.765, 0.246, 0.370)
Pm (0.630, 0.394, 0.876)
Pm (0.481, 0.606, 0.235)
Pm (0.626, 0.892, 0.873)
Pm (0.265, 0.247, 0.374)
Pm (0.124, 0.754, 0.519)
Hg (0.250, 0.500, 0.750)
Sb (0.000, 0.375, 0.127)
Sb (0.873, 0.872, 0.248)
Sb (0.752, 0.625, 0.624)
Sb (0.500, 0.000, 0.500)
Sb (0.376, 0.128, 0.000)


(10)
This record from Alexandria via LeMat-Bulk describes a geometry-optimized Pm6HgSb5 structure. The functional is PBE.

## Properties
calculated total energy = -5.15 eV per atom
V = 383 Å³/cell
total magnetization = 0.00 μB per formula unit

Cell lengths 7.774, 7.788, 7.753 Å; angles 59.85, 80.45, 70.72 degrees
Positions (direct):
Sb (0.500, 0.164, 0.672)
Sb (0.000, 0.333, 0.335)
Sb (0.500, 0.500, 0.000)
Sb (0.000, 0.667, 0.665)
Sb (0.500, 0.836, 0.328)
Hg (0.000, 0.000, 0.000)
Pm (0.745, 0.086, 0.346)
Pm (0.255, 0.568, 0.346)
Pm (0.256, 0.260, 0.000)
Pm (0.744, 0.740, 0.000)
Pm (0.745, 0.432, 0.654)
Pm (0.255, 0.914, 0.654)


(11)
This record from Alexandria via LeMat-Bulk describes a geometry-optimized Pm4HgSb structure. The functional is PBE.

## Properties
calculated total energy = -4.38 eV per atom
V = 366 Å³/cell
total magnetization = 0.00 μB per formula unit

Cell lengths 6.267, 8.590, 8.422 Å; angles 113.55, 102.75, 107.26 degrees
Positions (direct):
Pm (0.050, 0.221, 0.832)
Pm (0.767, 0.701, 0.618)
Pm (0.282, 0.611, 0.832)
Pm (0.351, 0.917, 0.618)
Pm (0.649, 0.083, 0.382)
Pm (0.718, 0.389, 0.168)
Pm (0.233, 0.299, 0.382)
Pm (0.950, 0.779, 0.168)
Hg (0.251, 0.001, 0.002)
Hg (0.749, 0.999, 0.998)
Sb (0.367, 0.617, 0.233)
Sb (0.633, 0.383, 0.767)


(12)
This record from Alexandria via LeMat-Bulk describes a geometry-optimized Pm4HgSb3 structure. The functional is PBE.

## Properties
calculated total energy = -4.87 eV per atom
V = 255 Å³/cell
total magnetization = 0.72 μB per formula unit

Cell lengths 6.342, 6.342, 6.342 Å; angles 90.00, 90.00, 90.00 degrees
Last column: magnetic moment on the atom in μB.
Positions (direct):
Sb (0.000, 0.500, 0.500)  0.00
Sb (0.500, 0.000, 0.500)  0.00
Sb (0.500, 0.500, 0.000)  0.00
Hg (0.000, 0.000, 0.000)  0.08
Pm (0.500, 0.000, 0.000)  0.08
Pm (0.000, 0.500, 0.000)  0.08
Pm (0.000, 0.000, 0.500)  0.08
Pm (0.500, 0.500, 0.500)  0.00


(13)
This record from Alexandria via LeMat-Bulk describes a geometry-optimized PmHgSb4 structure. The functional is PBE.

## Properties
calculated total energy = -3.69 eV per atom
V = 176 Å³/cell
total magnetization = 0.00 μB per formula unit

Cell lengths 6.295, 6.295, 6.295 Å; angles 60.00, 60.00, 60.00 degrees
Positions (direct):
Sb (0.627, 0.627, 0.118)
Sb (0.627, 0.118, 0.627)
Sb (0.627, 0.627, 0.627)
Sb (0.118, 0.627, 0.627)
Hg (0.000, 0.000, 0.000)
Pm (0.250, 0.250, 0.250)


(14)
This record from Alexandria via LeMat-Bulk describes a geometry-optimized Pm2HgSb structure. The functional is PBE.

## Properties
calculated total energy = -4.15 eV per atom
V = 121 Å³/cell
total magnetization = 0.00 μB per formula unit

Cell lengths 4.916, 4.916, 6.453 Å; angles 67.61, 67.61, 60.00 degrees
Positions (direct):
Sb (0.000, 0.000, 0.000)
Hg (0.500, 0.500, 0.500)
Pm (0.749, 0.749, 0.754)
Pm (0.251, 0.251, 0.246)


(15)
This record from Alexandria via LeMat-Bulk describes a geometry-optimized PmHgSb2 structure. The functional is PBE.

## Properties
calculated total energy = -3.56 eV per atom
V = 112 Å³/cell
total magnetization = 0.00 μB per formula unit

Cell lengths 5.412, 5.412, 5.412 Å; angles 60.00, 60.00, 60.00 degrees
Positions (direct):
Sb (0.250, 0.250, 0.250)
Sb (0.750, 0.750, 0.750)
Hg (0.500, 0.500, 0.500)
Pm (0.000, 0.000, 0.000)


(16)
This record from Alexandria via LeMat-Bulk describes a geometry-optimized PmHgSb2 structure. The functional is PBE.

## Properties
calculated total energy = -3.83 eV per atom
V = 117 Å³/cell
total magnetization = 0.00 μB per formula unit

Cell lengths 4.238, 4.238, 6.488 Å; angles 90.00, 90.00, 90.00 degrees
Positions (direct):
Sb (0.000, 0.000, 0.722)
Sb (0.000, 0.000, 0.278)
Hg (0.500, 0.500, 0.000)
Pm (0.500, 0.500, 0.500)


(17)
This record from Alexandria via LeMat-Bulk describes a geometry-optimized PmHgSb2 structure. The functional is PBE.

## Properties
calculated total energy = -3.83 eV per atom
V = 108 Å³/cell
total magnetization = 0.00 μB per formula unit

Cell lengths 4.800, 4.734, 4.734 Å; angles 90.00, 90.00, 90.00 degrees
Positions (direct):
Sb (0.000, 0.000, 0.500)
Sb (0.000, 0.500, 0.000)
Hg (0.500, 0.000, 0.000)
Pm (0.500, 0.500, 0.500)


(18)
This record from Alexandria via LeMat-Bulk describes a geometry-optimized Pm2HgSb structure. The functional is PBE.

## Properties
calculated total energy = -4.26 eV per atom
V = 246 Å³/cell
total magnetization = 0.00 μB per formula unit

Cell lengths 4.673, 4.260, 12.540 Å; angles 99.78, 90.00, 90.00 degrees
Positions (direct):
Pm (0.750, 0.684, 0.368)
Pm (0.250, 0.316, 0.632)
Pm (0.750, 0.935, 0.871)
Pm (0.250, 0.065, 0.129)
Hg (0.250, 0.457, 0.914)
Hg (0.750, 0.543, 0.086)
Sb (0.250, 0.189, 0.378)
Sb (0.750, 0.811, 0.622)


(19)
This record from Alexandria via LeMat-Bulk describes a geometry-optimized Pm2HgSb structure. The functional is PBE.

## Properties
calculated total energy = -4.16 eV per atom
V = 128 Å³/cell
total magnetization = 0.00 μB per formula unit

Cell lengths 4.297, 4.297, 8.365 Å; angles 75.12, 75.12, 60.00 degrees
Positions (direct):
Pm (0.078, 0.078, 0.767)
Pm (0.256, 0.256, 0.233)
Hg (0.499, 0.499, 0.502)
Sb (0.667, 0.667, 0.998)


(20)
This record from Alexandria via LeMat-Bulk describes a geometry-optimized Pm4HgSbSe2 structure. The functional is PBE.

## Properties
calculated total energy = -5.11 eV per atom
V = 229 Å³/cell
total magnetization = 0.00 μB per formula unit

Cell lengths 4.277, 7.700, 7.352 Å; angles 71.32, 90.00, 90.00 degrees
Positions (direct):
Pm (0.000, 0.764, 0.747)
Pm (0.000, 0.236, 0.253)
Pm (0.500, 0.768, 0.244)
Pm (0.500, 0.232, 0.756)
Hg (0.000, 0.500, 0.500)
Sb (0.500, 0.500, 0.000)
Se (0.000, 0.000, 0.000)
Se (0.500, 0.000, 0.500)


(21)
This record from Alexandria via LeMat-Bulk describes a geometry-optimized TbPmHgSb structure. The functional is PBE.

## Properties
calculated total energy = -4.09 eV per atom
V = 109 Å³/cell
total magnetization = 0.00 μB per formula unit

Cell lengths 5.363, 5.363, 5.363 Å; angles 60.00, 60.00, 60.00 degrees
Positions (direct):
Sb (0.250, 0.250, 0.250)
Tb (0.000, 0.000, 0.000)
Hg (0.750, 0.750, 0.750)
Pm (0.500, 0.500, 0.500)


(22)
This record from Alexandria via LeMat-Bulk describes a geometry-optimized Pm4HgSb2Te structure. The functional is PBE.

## Properties
calculated total energy = -4.89 eV per atom
V = 253 Å³/cell
total magnetization = 0.00 μB per formula unit

Cell lengths 4.420, 7.673, 7.868 Å; angles 71.37, 90.00, 90.00 degrees
Positions (direct):
Pm (0.000, 0.757, 0.748)
Pm (0.000, 0.243, 0.252)
Pm (0.500, 0.757, 0.244)
Pm (0.500, 0.243, 0.756)
Hg (0.000, 0.500, 0.500)
Sb (0.000, 0.000, 0.000)
Sb (0.500, 0.000, 0.500)
Te (0.500, 0.500, 0.000)


(23)
This record from Alexandria via LeMat-Bulk describes a geometry-optimized PmThHgSb structure. The functional is PBE.

## Properties
calculated total energy = -4.68 eV per atom
V = 113 Å³/cell
total magnetization = 0.00 μB per formula unit

Cell lengths 5.430, 5.430, 5.430 Å; angles 60.00, 60.00, 60.00 degrees
Positions (direct):
Sb (0.000, 0.000, 0.000)
Hg (0.500, 0.500, 0.500)
Th (0.750, 0.750, 0.750)
Pm (0.250, 0.250, 0.250)


(24)
This record from Alexandria via LeMat-Bulk describes a geometry-optimized Pm5Sc4Hg4 structure. The functional is PBE.

## Properties
calculated total energy = -4.17 eV per atom
V = 358 Å³/cell
ΔE_f = -299 meV per atom
total magnetization = 0.00 μB per formula unit

Cell lengths 4.948, 8.861, 8.861 Å; angles 85.53, 73.79, 73.79 degrees
Positions (direct):
Pm (0.691, 0.932, 0.686)
Pm (0.309, 0.068, 0.314)
Pm (0.000, 0.000, 0.000)
Pm (0.623, 0.686, 0.068)
Pm (0.377, 0.314, 0.932)
Sc (0.904, 0.507, 0.685)
Sc (0.589, 0.315, 0.507)
Sc (0.096, 0.493, 0.315)
Sc (0.411, 0.685, 0.493)
Hg (0.749, 0.330, 0.172)
Hg (0.251, 0.670, 0.828)
Hg (0.921, 0.828, 0.330)
Hg (0.079, 0.172, 0.670)